Ba8Na2Ca after structural relaxation. Source: the Alexandria database, functional GGA-PBE.

The structure belongs to space group C2/m (No. 12); the cell edges are 20.061, 6.888 and 10.604 Å and the angles 90.00°, 120.27° and 90.00°. Symmetry generates all atoms from Ba at (0.051, 0.000, 0.227), Ba at (0.099, 0.500, 0.955), Ba at (0.139, 0.000, 0.691), Ba at (0.179, 0.500, 0.428), Na at (0.223, 0.000, 0.143) and Ca at (0.000, 0.500, 0.500).

The density of states at the Fermi level comes out at 1.52 states/eV/atom. As for the total energy: -1.789 eV per atom.



Cs2SrAs2S6 after structural relaxation. Source: the Alexandria database, functional GGA-PBE.

The structure belongs to space group C2/m (No. 12); the cell edges are 12.982, 7.396 and 8.667 Å and the angles 90.00°, 121.38° and 90.00°. Symmetry generates all atoms from Cs at (0.218, 0.000, 0.216), Sr at (0.000, 0.000, 0.500), As at (0.036, 0.500, 0.171), S at (0.044, 0.255, 0.798) and S at (0.232, 0.500, 0.326).

As for the total energy: -4.223 eV per atom. Its formation energy without anion corrections is -819 meV/atom.